# 1
# LiScTaSb2 (PBE-GGA, optimized geometry)
data_LiScTaSb2
_cell_length_a 5.295
_cell_length_b 5.295
_cell_length_c 4.875
_cell_angle_alpha 90.00
_cell_angle_beta 90.00
_cell_angle_gamma 90.00
_space_group_name_H-M_alt 'P 1'
_space_group_IT_number 1
loop_
_space_group_symop_operation_xyz
'x,y,z'
loop_
_atom_site_label
_atom_site_type_symbol
_atom_site_fract_x
_atom_site_fract_y
_atom_site_fract_z
Li1 Li 0.000 0.000 0.000
Sc1 Sc 0.500 0.500 0.000
Ta1 Ta 0.000 0.000 0.500
Sb1 Sb 0.000 0.500 0.500
Sb2 Sb 0.500 0.000 0.500
# V	27.34	Å³/atom

***

# 2
# LiScSb2Te (PBE-GGA, optimized geometry)
data_LiScSb2Te
_cell_length_a 5.497
_cell_length_b 5.497
_cell_length_c 5.624
_cell_angle_alpha 90.00
_cell_angle_beta 90.00
_cell_angle_gamma 90.00
_space_group_name_H-M_alt 'P 1'
_space_group_IT_number 1
loop_
_space_group_symop_operation_xyz
'x,y,z'
loop_
_atom_site_label
_atom_site_type_symbol
_atom_site_fract_x
_atom_site_fract_y
_atom_site_fract_z
Li1 Li 0.000 0.000 0.000
Sc1 Sc 0.500 0.500 0.500
Sb1 Sb 0.000 0.500 0.500
Sb2 Sb 0.500 0.000 0.500
Te1 Te 0.500 0.500 0.000
# V	33.99	Å³/atom

***

Number 1: DOS(E_F) 5.03 states/eV/f.u., uncorrected formation energy 2.56 eV per formula unit. Number 2: DOS(E_F) 4.10 states/eV/f.u., uncorrected formation energy -0.63 eV per formula unit.